Material: ZrPtRh2
Method: DFT, PBE
State: optimized geometry

## Properties
Crystal system: cubic
Fermi-level density of states: 23.83 states/eV per cell

Geometry as CIF:
```
data_ZrPtRh2
_cell_length_a 6.413
_cell_length_b 6.413
_cell_length_c 6.413
_cell_angle_alpha 90.00
_cell_angle_beta 90.00
_cell_angle_gamma 90.00
_space_group_name_H-M_alt 'F -4 3 m'
_space_group_IT_number 216
_space_group_name_Hall 'F -4 2 3'
loop_
_atom_site_label
_atom_site_fract_x
_atom_site_fract_y
_atom_site_fract_z
Zr1 0.000 0.000 0.000
Pt1 0.250 0.250 0.750
Rh1 0.000 0.000 0.500
Rh2 0.250 0.250 0.250
```

Material: Zr2PtRh
Method: DFT, PBE
State: optimized geometry

## Properties
Crystal system: orthorhombic
Fermi-level density of states: 7.89 states/eV per cell

Geometry as CIF:
```
data_Zr2PtRh
_cell_length_a 6.597
_cell_length_b 6.641
_cell_length_c 3.376
_cell_angle_alpha 90.00
_cell_angle_beta 90.00
_cell_angle_gamma 90.00
_space_group_name_H-M_alt 'C m m m'
_space_group_IT_number 65
_space_group_name_Hall '-C 2 2'
loop_
_atom_site_label
_atom_site_fract_x
_atom_site_fract_y
_atom_site_fract_z
Zr1 0.250 0.250 0.000
Pt1 0.000 0.000 0.500
Rh1 0.000 0.500 0.500
```

What did we get for electronic total energy? Answer: -124.7; -67.6 eV for the cell shown, in the order shown.